Computed, not measured: a relaxed BeIn2Ru crystal at the PBE level of DFT.

Output
energy of formation from the pure elements	0.29	eV per atom
V	66	Å³/f.u.

The structure in CIF format:
```
data_BeIn2Ru
_space_group_name_H-M_alt 'P 4/m m m'
_space_group_IT_number 123
_space_group_name_Hall '-P 4 2'
_cell_length_a 4.2328
_cell_length_b 4.2328
_cell_length_c 3.6930
_cell_angle_alpha 90.00
_cell_angle_beta 90.00
_cell_angle_gamma 90.00
loop_
_atom_site_label
_atom_site_fract_x
_atom_site_fract_y
_atom_site_fract_z
Be1 0.0000 0.0000 0.0000
In1 0.0000 0.5000 0.5000
Ru1 0.5000 0.5000 0.0000
```